This record from the Alexandria database describes a relaxed Sr2ZnCuO4 crystal. The functional is PBE.

crystal system = tetragonal
energy relative to the elements, uncorrected = -1.76 eV per atom
DFT total energy = -5.335 eV per atom

a = 5.3035 Å, b = 5.3035 Å, c = 5.3035 Å
α = 102.84°, β = 112.89°, γ = 112.89°
Last column: magnetic moment on the atom in μB.
Element x y z (fractional)
O 0.9183 0.5812 0.1392  0.09
O 0.4420 0.8608 0.7791  0.09
O 0.0817 0.2209 0.6629  0.09
O 0.5580 0.3371 0.4188  0.09
Sr 0.0000 0.0000 0.0000  0.01
Sr 0.5000 0.7500 0.2500  0.00
Zn 0.5000 0.2500 0.7500  0.01
Cu 0.0000 0.5000 0.5000  0.54

=====

This record from the Alexandria database describes a relaxed LiBiTe crystal. The functional is PBE.

crystal system = orthorhombic
energy relative to the elements, uncorrected = -0.29 eV per atom
DFT total energy = -3.273 eV per atom
polymorph energy (0 for the lowest one) = 193 meV/atom
DOS at the Fermi energy = 4.6 states/eV/cell

a = 7.5088 Å, b = 11.2775 Å, c = 7.0443 Å
α = 143.18°, β = 90.00°, γ = 90.00°
Element x y z (fractional)
Bi 0.5000 0.2885 0.5770
Bi 0.0000 0.7885 0.5770
Bi 0.0000 0.2115 0.4230
Bi 0.5000 0.7115 0.4230
Li 0.1960 0.6245 0.0000
Li 0.3040 0.1245 0.0000
Li 0.6960 0.8755 0.0000
Li 0.8040 0.3755 0.0000
Te 0.7014 0.1380 0.0000
Te 0.2014 0.3620 0.0000
Te 0.2986 0.8620 0.0000
Te 0.7986 0.6380 0.0000

=====

This record from the Alexandria database describes a relaxed SrLaPmEu crystal. The functional is PBE.

ΔH_f (0 K) = 0.68 eV per formula unit
crystal system = cubic
DFT total energy = -5.238 eV per atom
DOS at the Fermi energy = 4.9 states/eV/cell

a = 6.1275 Å, b = 6.1275 Å, c = 6.1275 Å
α = 60.00°, β = 60.00°, γ = 60.00°
Last column: magnetic moment on the atom in μB.
Element x y z (fractional)
Eu 0.0000 0.0000 0.0000  6.89
Sr 0.2500 0.2500 0.2500  0.01
La 0.7500 0.7500 0.7500  0.11
Pm 0.5000 0.5000 0.5000  0.04